This record from the Alexandria database describes Y2MoOs after structural relaxation. The functional is PBE.

abc: 5.7619 5.7619 5.7619
angles: 138.57 138.57 60.03
Atoms (fractional coordinates):
Y (0.0000, 0.0000, 0.0000)
Y (0.2500, 0.7500, 0.5000)
Os (0.7500, 0.2500, 0.5000)
Mo (0.5000, 0.5000, 0.0000)

Properties
D(E_F)	4.84	states/eV per cell
E_form	0.46	eV/atom
magnetization	0.0	μB/f.u.